# 1
Below is a relaxed SrOsSe2 crystal, with properties calculated at the GGA-PBE level.

a = 6.998 Å, b = 6.998 Å, c = 6.998 Å
α = 90.00°, β = 90.00°, γ = 90.00°
Space group F-43m (No. 216)
Symmetry-distinct sites (fractional):
Sr 0.000 0.000 0.000 x4
Os 0.250 0.250 0.750 x4
Se 0.000 0.000 0.500 x4
Se 0.250 0.250 0.250 x4

Values from the calculation:
E above lowest polymorph ... 1287.2 meV per atom
DOS(E_F) ... 10.8 states/eV/cell
Formation energy without anion corrections ... 630.9 meV/atom

***

# 2
Below is a relaxed In2NiRu crystal, with properties calculated at the GGA-PBE level.

a = 3.0823 Å, b = 3.0823 Å, c = 24.9564 Å
α = 90.00°, β = 90.00°, γ = 120.00°
Space group R-3m (No. 166, hexagonal axes)
Symmetry-distinct sites (fractional):
In 0.0000 0.0000 0.2476 x6
Ni 0.0000 0.0000 0.5000 x3
Ru 0.0000 0.0000 0.0000 x3

Values from the calculation:
DOS(E_F) ... 9.9 states/eV/cell
Energy ... -4.95 eV/atom

***

# 3
Below is a relaxed AcTmZnSb crystal, with properties calculated at the GGA-PBE level.

a = 7.682 Å, b = 7.682 Å, c = 7.682 Å
α = 90.00°, β = 90.00°, γ = 90.00°
Space group F-43m (No. 216)
Symmetry-distinct sites (fractional):
Ac 0.000 0.000 0.000 x4
Tm 0.000 0.000 0.500 x4
Zn 0.250 0.250 0.750 x4
Sb 0.250 0.250 0.250 x4

Values from the calculation:
DOS(E_F) ... 14.3 states/eV/cell
Formation energy without anion corrections ... -461.9 meV/atom

***

# 4
Below is a relaxed La3AsS2 crystal, with properties calculated at the GGA-PBE level.

a = 4.236 Å, b = 5.985 Å, c = 12.708 Å
α = 90.00°, β = 90.00°, γ = 90.00°
Space group Immm (No. 71)
Symmetry-distinct sites (fractional):
La 0.000 0.000 0.000 x2
La 0.000 0.000 0.331 x4
As 0.000 0.500 0.000 x2
S 0.000 0.500 0.334 x4

Values from the calculation:
DOS(E_F) ... 5.1 states/eV/cell
Formation energy without anion corrections ... -1990.0 meV/atom

***

# 5
Below is a relaxed Er4Tm3S8 crystal, with properties calculated at the GGA-PBE level.

a = 10.880 Å, b = 10.881 Å, c = 7.692 Å
α = 90.00°, β = 134.99°, γ = 90.00°
Space group C2/m (No. 12)
Symmetry-distinct sites (fractional):
Er 0.000 0.000 0.000 x2
Er 0.000 0.500 0.500 x2
Er 0.250 0.250 0.000 x4
Tm 0.000 0.500 0.000 x2
Tm 0.250 0.250 0.500 x4
S 0.000 0.248 0.500 x4
S 0.000 0.251 0.000 x4
S 0.249 0.000 0.501 x4
S 0.249 0.000 0.997 x4

Values from the calculation:
DOS(E_F) ... 11.7 states/eV/cell
Formation energy without anion corrections ... -2021.6 meV/atom

***

# 6
Below is a relaxed Pr4ZnRu crystal, with properties calculated at the GGA-PBE level.

a = 13.969 Å, b = 13.969 Å, c = 13.969 Å
α = 90.00°, β = 90.00°, γ = 90.00°
Space group F-43m (No. 216)
Symmetry-distinct sites (fractional):
Pr 0.000 0.000 0.189 x24
Pr 0.057 0.250 0.750 x24
Pr 0.099 0.099 0.401 x16
Zn 0.174 0.174 0.174 x16
Ru 0.112 0.112 0.612 x16

Values from the calculation:
E above lowest polymorph ... 0.0 meV per atom
DOS(E_F) ... 99.2 states/eV/cell

***

# 7
Below is a relaxed Ru2PtCl crystal, with properties calculated at the GGA-PBE level.

a = 4.092 Å, b = 4.092 Å, c = 7.267 Å
α = 90.00°, β = 90.00°, γ = 90.00°
Space group I-4m2 (No. 119)
Symmetry-distinct sites (fractional):
Ru 0.000 0.000 0.000 x2
Ru 0.000 0.500 0.250 x2
Pt 0.000 0.000 0.500 x2
Cl 0.000 0.500 0.750 x2

Values from the calculation:
E above lowest polymorph ... 593.4 meV per atom
DOS(E_F) ... 7.5 states/eV/cell
Formation energy without anion corrections ... 880.6 meV/atom

***

# 8
Below is a relaxed HBr crystal, with properties calculated at the GGA-PBE level.

a = 4.847 Å, b = 4.847 Å, c = 4.847 Å
α = 90.00°, β = 90.00°, γ = 90.00°
Space group Fm-3m (No. 225)
Symmetry-distinct sites (fractional):
H 0.000 0.000 0.000 x4
Br 0.000 0.000 0.500 x4

Values from the calculation:
DOS(E_F) ... 3.9 states/eV/cell
Energy ... -1.63 eV/atom

***

# 9
Below is a relaxed BaTaSe4 crystal, with properties calculated at the GGA-PBE level.

a = 10.102 Å, b = 10.133 Å, c = 3.900 Å
α = 90.00°, β = 90.00°, γ = 90.00°
Space group Cmmm (No. 65)
Symmetry-distinct sites (fractional):
Ba 0.000 0.000 0.000 x2
Ta 0.000 0.500 0.500 x2
Se 0.000 0.327 0.000 x4
Se 0.248 0.500 0.500 x4

Values from the calculation:
E above lowest polymorph ... 200.6 meV per atom
DOS(E_F) ... 11.3 states/eV/cell
Formation energy without anion corrections ... -788.5 meV/atom

***

# 10
Below is a relaxed NaHo2GeO5 crystal, with properties calculated at the GGA-PBE level.

a = 6.521 Å, b = 6.521 Å, c = 11.449 Å
α = 90.00°, β = 90.00°, γ = 90.00°
Space group I4/mcm (No. 140)
Symmetry-distinct sites (fractional):
Na 0.000 0.000 0.250 x4
Ho 0.178 0.322 0.000 x8
Ge 0.000 0.500 0.250 x4
O 0.000 0.000 0.000 x4
O 0.141 0.359 0.374 x16

Values from the calculation:
DOS(E_F) ... 10.0 states/eV/cell
Formation energy without anion corrections ... -2422.5 meV/atom

***

# 11
Below is a relaxed LaMg4Tl crystal, with properties calculated at the GGA-PBE level.

a = 8.404 Å, b = 4.722 Å, c = 8.021 Å
α = 90.00°, β = 90.00°, γ = 90.00°
Space group Pmma (No. 51)
Symmetry-distinct sites (fractional):
La 0.250 0.000 0.135 x2
Mg 0.000 0.000 0.500 x2
Mg 0.049 0.500 0.813 x4
Mg 0.250 0.500 0.448 x2
Tl 0.250 0.000 0.736 x2

Values from the calculation:
E above lowest polymorph ... 0.0 meV per atom
DOS(E_F) ... 3.6 states/eV/cell

***

# 12
Below is a relaxed Ac6Ni2RhBr3 crystal, with properties calculated at the GGA-PBE level.

a = 20.726 Å, b = 4.336 Å, c = 9.655 Å
α = 90.00°, β = 111.72°, γ = 90.00°
Space group C2/m (No. 12)
Symmetry-distinct sites (fractional):
Ac 0.013 0.000 0.219 x4
Ac 0.154 0.500 0.117 x4
Ac 0.179 0.500 0.550 x4
Ni 0.167 0.000 0.335 x4
Rh 0.000 0.500 0.000 x2
Br 0.000 0.500 0.500 x2
Br 0.167 0.000 0.830 x4

Values from the calculation:
DOS(E_F) ... 15.8 states/eV/cell
Formation energy without anion corrections ... -950.2 meV/atom